Record 1
Here is a relaxed Y2ScOs crystal from the Alexandria database. Energies are from GGA-PBE.

Geometry as extended XYZ:
```
4
Lattice="1.7300 0.9988 9.8318 -1.7300 0.9988 9.8318 0.0000 -1.9976 9.8318" Properties=species:S:1:pos:R:3 pbc="T T T"
Y 0.0000 0.0000 6.9213
Y 0.0000 0.0000 22.5741
Sc 0.0000 0.0000 0.0000
Os 0.0000 0.0000 14.7477
```

Summary:
E_tot in eV/atom: -7.41
E_form in eV/atom: 0.21
SG: R-3m (166)
Magnetic moment in μB/f.u.: 0.9
Relative energy among the computed polymorphs in meV per atom: 477
Calculated volume in Å³/cell: 101.93

Record 2
Here is a relaxed InNiAs2 crystal from the Alexandria database. Energies are from GGA-PBE.

Geometry as extended XYZ:
```
4
Lattice="3.6725 0.0000 0.0000 0.0000 3.4763 0.0000 -1.8098 0.0000 5.8869" Properties=species:S:1:pos:R:3 pbc="T T T"
In 0.0000 0.0000 0.0000
Ni 1.8145 1.7382 3.6942
As -0.0127 0.0000 3.4364
As 1.8445 1.7382 1.3853
```

Summary:
E_tot in eV/atom: -4.37
E_form in eV/atom: 0.08
SG: Pm (6)
Magnetic moment in μB/f.u.: 0.0
Calculated volume in Å³/cell: 75.16

Record 3
Here is a relaxed InNiSn4 crystal from the Alexandria database. Energies are from GGA-PBE.

Geometry as extended XYZ:
```
12
Lattice="4.8638 -5.3509 0.0000 4.8638 5.3509 0.0000 -1.0522 0.0000 5.6929" Properties=species:S:1:pos:R:3 pbc="T T T"
In 4.0746 4.6903 4.2697
In 4.6007 -4.6903 1.4232
Ni 4.0746 0.0246 4.2697
Ni 4.6007 -0.0246 1.4232
Sn 1.6876 0.9844 5.3245
Sn 3.4256 2.1185 2.6670
Sn 2.2137 -0.9844 2.4781
Sn 5.7759 2.1185 0.1795
Sn 2.8994 -2.1185 5.5134
Sn 6.4616 0.9844 3.2148
Sn 5.2498 -2.1185 3.0259
Sn 6.9877 -0.9844 0.3684
```

Summary:
E_tot in eV/atom: -4.13
E_form in eV/atom: -0.04
SG: C2/c (15)
Magnetic moment in μB/f.u.: 0.0
Calculated volume in Å³/cell: 296.32

Record 4
Here is a relaxed SmP2PdO8 crystal from the Alexandria database. Energies are from GGA-PBE.

Geometry as extended XYZ:
```
12
Lattice="5.1829 0.0000 0.0000 -2.5914 4.4885 0.0000 0.0000 0.0000 6.8786" Properties=species:S:1:pos:R:3 pbc="T T T"
Sm 0.0000 0.0000 0.0000
P 0.0000 2.9923 1.5241
P 2.5914 1.4962 5.3545
Pd 0.0000 0.0000 3.4393
O 0.0000 1.5026 1.9550
O -1.2901 3.7372 1.9550
O 0.0000 2.9923 6.8655
O 1.3013 0.7513 4.9236
O 1.2901 3.7372 1.9550
O 2.5914 1.4962 0.0131
O 3.8815 0.7513 4.9236
O 2.5914 2.9858 4.9236
```

Summary:
E_tot in eV/atom: -7.07
Formation energy from raw total energies in eV/f.u.: -24.4
SG: P-3m1 (164)
Magnetic moment in μB/f.u.: 1.0
Calculated volume in Å³/cell: 160.02

Record 5
Here is a relaxed Tb4AlRh crystal from the Alexandria database. Energies are from GGA-PBE.

Geometry as extended XYZ:
```
24
Lattice="0.0000 6.7665 6.7665 6.7665 0.0000 6.7665 6.7665 6.7665 0.0000" Properties=species:S:1:pos:R:3 pbc="T T T"
Tb 3.3832 3.3832 0.7597
Tb 3.3832 0.7597 3.3832
Tb 6.0068 3.3832 3.3832
Tb 6.7665 6.7665 2.5216
Tb 6.7665 2.5216 6.7665
Tb 11.0114 6.7665 6.7665
Tb 8.1470 5.3859 5.3859
Tb 0.7597 3.3832 3.3832
Tb 3.3832 6.0068 3.3832
Tb 3.3832 3.3832 6.0068
Tb 5.3859 8.1470 5.3859
Tb 5.3859 5.3859 8.1470
Tb 8.1470 8.1470 8.1470
Tb 2.5216 6.7665 6.7665
Tb 6.7665 11.0114 6.7665
Tb 6.7665 6.7665 11.0114
Al 11.1906 9.1088 9.1088
Al 9.1088 11.1906 9.1088
Al 9.1088 9.1088 11.1906
Al 11.1906 11.1906 11.1906
Rh 5.3080 5.3080 5.3080
Rh 8.2250 8.2250 5.3080
Rh 8.2250 5.3080 8.2250
Rh 5.3080 8.2250 8.2250
```

Summary:
E_tot in eV/atom: -5.44
E_form in eV/atom: -0.51
SG: F-43m (216)
Magnetic moment in μB/f.u.: 0.0
Relative energy among the computed polymorphs in meV per atom: 0
Calculated volume in Å³/cell: 619.61

Record 6
Here is a relaxed NaInSn crystal from the Alexandria database. Energies are from GGA-PBE.

Geometry as extended XYZ:
```
3
Lattice="3.8469 0.0000 0.0000 0.0000 4.7111 0.0000 0.0000 0.0000 5.4640" Properties=species:S:1:pos:R:3 pbc="T T T"
Na 0.0000 0.0000 0.0000
In 0.0000 2.3556 2.7320
Sn 1.9235 0.0000 2.7320
```

Summary:
E_tot in eV/atom: -2.69
E_form in eV/atom: 0.00
SG: Pmmm (47)
Magnetic moment in μB/f.u.: 0.0
Calculated volume in Å³/cell: 99.02

Record 7
Here is a relaxed Cs2TlHg6Pt crystal from the Alexandria database. Energies are from GGA-PBE.

Geometry as extended XYZ:
```
10
Lattice="5.6243 0.0000 0.0000 0.0000 5.6243 0.0000 0.0000 0.0000 11.8137" Properties=species:S:1:pos:R:3 pbc="T T T"
Cs 0.0000 0.0000 2.8839
Cs 0.0000 0.0000 8.9299
Tl 2.8122 2.8122 5.9069
Hg 0.0000 2.8122 0.0000
Hg 0.0000 2.8122 5.9069
Hg 2.8122 0.0000 0.0000
Hg 2.8122 0.0000 5.9069
Hg 2.8122 2.8122 2.7279
Hg 2.8122 2.8122 9.0859
Pt 2.8122 2.8122 0.0000
```

Summary:
E_tot in eV/atom: -1.36
E_form in eV/atom: -0.17
SG: P4/mmm (123)
Magnetic moment in μB/f.u.: 0.0
Calculated volume in Å³/cell: 373.71